(one)
Here is Ca2Cd3Au4 after structural relaxation from Alexandria. Energies are from PBE.

## Properties
DOS at the Fermi energy (states/eV/cell): 5.866

Unit cell a=8.554 b=5.038 c=9.354 alpha=90.00 beta=96.21 gamma=90.00
Space group C2/m (No. 12)
Inequivalent atoms, fractional coordinates:
Ca (0.141, 0.000, 0.276) [4 per cell]
Cd (0.000, 0.500, 0.500) [2 per cell]
Cd (0.209, 0.000, 0.910) [4 per cell]
Au (0.043, 0.500, 0.849) [4 per cell]
Au (0.183, 0.000, 0.596) [4 per cell]


(two)
Here is Ca2Cd3Au4 after structural relaxation from Alexandria. Energies are from PBE.

## Properties
DOS at the Fermi energy (states/eV/cell): 15.658

Unit cell a=6.002 b=17.110 c=8.024 alpha=90.00 beta=90.00 gamma=90.00
Space group Cmce (No. 64)
Inequivalent atoms, fractional coordinates:
Ca (0.000, 0.101, 0.096) [8 per cell]
Cd (0.000, 0.000, 0.500) [4 per cell]
Cd (0.250, 0.235, 0.750) [8 per cell]
Au (0.000, 0.167, 0.470) [8 per cell]
Au (0.250, 0.067, 0.750) [8 per cell]


So which one is most stable? That would be (one), about 0.017 eV/atom below the next structure.


(one)
Here is Ca3Cd2Au4 after structural relaxation from Alexandria. Energies are from PBE.

## Properties
DOS at the Fermi energy (states/eV/cell): 8.956

Unit cell a=11.365 b=4.720 c=9.065 alpha=90.00 beta=116.16 gamma=90.00
Space group C2/m (No. 12)
Inequivalent atoms, fractional coordinates:
Ca (0.000, 0.000, 0.000) [2 per cell]
Ca (0.140, 0.500, 0.694) [4 per cell]
Cd (0.162, 0.500, 0.331) [4 per cell]
Au (0.067, 0.000, 0.401) [4 per cell]
Au (0.225, 0.500, 0.067) [4 per cell]


(two)
Here is Ca3Cd2Au4 after structural relaxation from Alexandria. Energies are from PBE.

## Properties
DOS at the Fermi energy (states/eV/cell): 8.963

Unit cell a=10.327 b=4.588 c=9.314 alpha=90.00 beta=92.29 gamma=90.00
Space group C2/m (No. 12)
Inequivalent atoms, fractional coordinates:
Ca (0.000, 0.000, 0.000) [2 per cell]
Ca (0.127, 0.500, 0.387) [4 per cell]
Cd (0.179, 0.500, 0.773) [4 per cell]
Au (0.079, 0.000, 0.626) [4 per cell]
Au (0.202, 0.500, 0.082) [4 per cell]


So which one is most stable? That would be (one), about 0.024 eV/atom below the next structure.


(one)
Here is Ca2CdHAu after structural relaxation from Alexandria. Energies are from PBE.

## Properties
DOS at the Fermi energy (states/eV/cell): 2.926

Unit cell a=4.852 b=4.852 c=4.348 alpha=90.00 beta=90.00 gamma=90.00
Space group P4/mmm (No. 123)
Inequivalent atoms, fractional coordinates:
Ca (0.000, 0.500, 0.000) [2 per cell]
Cd (0.000, 0.000, 0.500) [1 per cell]
H (0.000, 0.000, 0.000) [1 per cell]
Au (0.500, 0.500, 0.500) [1 per cell]


(two)
Here is Ca2CdHAu after structural relaxation from Alexandria. Energies are from PBE.

## Properties
DOS at the Fermi energy (states/eV/cell): 2.949

Unit cell a=5.251 b=5.251 c=3.825 alpha=90.00 beta=90.00 gamma=90.00
Space group P4/mmm (No. 123)
Inequivalent atoms, fractional coordinates:
Ca (0.000, 0.500, 0.000) [2 per cell]
Cd (0.000, 0.000, 0.500) [1 per cell]
H (0.500, 0.500, 0.000) [1 per cell]
Au (0.500, 0.500, 0.500) [1 per cell]


So which one is most stable? That would be (two), about 0.019 eV/atom below the next structure.


(one)
Here is Ca2CdHgAu after structural relaxation from Alexandria. Energies are from PBE.

## Properties
DOS at the Fermi energy (states/eV/cell): 3.559

Unit cell a=5.789 b=5.789 c=5.204 alpha=90.00 beta=90.00 gamma=90.00
Space group P4/mmm (No. 123)
Inequivalent atoms, fractional coordinates:
Ca (0.000, 0.500, 0.000) [2 per cell]
Cd (0.000, 0.000, 0.500) [1 per cell]
Hg (0.000, 0.000, 0.000) [1 per cell]
Au (0.500, 0.500, 0.500) [1 per cell]


(two)
Here is Ca2CdHgAu after structural relaxation from Alexandria. Energies are from PBE.

## Properties
DOS at the Fermi energy (states/eV/cell): 4.463

Unit cell a=7.539 b=4.604 c=8.169 alpha=90.00 beta=111.11 gamma=90.00
Space group P2_1/m (No. 11)
Inequivalent atoms, fractional coordinates:
Ca (0.034, 0.250, 0.206) [2 per cell]
Ca (0.358, 0.750, 0.612) [2 per cell]
Cd (0.344, 0.250, 0.955) [2 per cell]
Hg (0.327, 0.750, 0.197) [2 per cell]
Au (0.085, 0.250, 0.604) [2 per cell]


So which one is most stable? That would be (two), about 0.572 eV/atom below the next structure.


(one)
Here is LiCaCdAu after structural relaxation from Alexandria. Energies are from PBE.

## Properties
DOS at the Fermi energy (states/eV/cell): 9.876

Unit cell a=6.995 b=6.995 c=6.995 alpha=90.00 beta=90.00 gamma=90.00
Space group F-43m (No. 216)
Inequivalent atoms, fractional coordinates:
Li (0.000, 0.000, 0.000) [4 per cell]
Ca (0.250, 0.250, 0.750) [4 per cell]
Cd (0.250, 0.250, 0.250) [4 per cell]
Au (0.000, 0.000, 0.500) [4 per cell]


(two)
Here is LiCaCdAu after structural relaxation from Alexandria. Energies are from PBE.

## Properties
DOS at the Fermi energy (states/eV/cell): 3.737

Unit cell a=4.826 b=4.826 c=7.646 alpha=90.00 beta=90.00 gamma=90.00
Space group I-4m2 (No. 119)
Inequivalent atoms, fractional coordinates:
Li (0.000, 0.000, 0.000) [2 per cell]
Ca (0.000, 0.000, 0.500) [2 per cell]
Cd (0.000, 0.500, 0.750) [2 per cell]
Au (0.000, 0.500, 0.250) [2 per cell]


So which one is most stable? That would be (one), about 0.031 eV/atom below the next structure.


(one)
Here is CaNdCdAu after structural relaxation from Alexandria. Energies are from PBE.

## Properties
DOS at the Fermi energy (states/eV/cell): 13.523

Unit cell a=7.498 b=7.498 c=7.498 alpha=90.00 beta=90.00 gamma=90.00
Space group F-43m (No. 216)
Inequivalent atoms, fractional coordinates:
Ca (0.000, 0.000, 0.000) [4 per cell]
Nd (0.000, 0.000, 0.500) [4 per cell]
Cd (0.250, 0.250, 0.750) [4 per cell]
Au (0.250, 0.250, 0.250) [4 per cell]


(two)
Here is CaNdCdAu after structural relaxation from Alexandria. Energies are from PBE.

## Properties
DOS at the Fermi energy (states/eV/cell): 3.448

Unit cell a=3.744 b=3.744 c=7.632 alpha=90.00 beta=90.00 gamma=90.00
Space group P4mm (No. 99)
Inequivalent atoms, fractional coordinates:
Ca (0.000, 0.000, 0.000) [1 per cell]
Nd (0.000, 0.000, 0.535) [1 per cell]
Cd (0.500, 0.500, 0.265) [1 per cell]
Au (0.500, 0.500, 0.760) [1 per cell]


So which one is most stable? That would be (two), about 0.009 eV/atom below the next structure.


(one)
Here is CaSmCdAu after structural relaxation from Alexandria. Energies are from PBE.

## Properties
DOS at the Fermi energy (states/eV/cell): 13.283

Unit cell a=7.447 b=7.447 c=7.447 alpha=90.00 beta=90.00 gamma=90.00
Space group F-43m (No. 216)
Inequivalent atoms, fractional coordinates:
Ca (0.000, 0.000, 0.000) [4 per cell]
Sm (0.000, 0.000, 0.500) [4 per cell]
Cd (0.250, 0.250, 0.250) [4 per cell]
Au (0.250, 0.250, 0.750) [4 per cell]


(two)
Here is CaSmCdAu after structural relaxation from Alexandria. Energies are from PBE.

## Properties
DOS at the Fermi energy (states/eV/cell): 3.400

Unit cell a=3.722 b=3.722 c=7.589 alpha=90.00 beta=90.00 gamma=90.00
Space group P4mm (No. 99)
Inequivalent atoms, fractional coordinates:
Ca (0.000, 0.000, 0.000) [1 per cell]
Sm (0.000, 0.000, 0.535) [1 per cell]
Cd (0.500, 0.500, 0.269) [1 per cell]
Au (0.500, 0.500, 0.752) [1 per cell]


So which one is most stable? That would be (two), about 0.020 eV/atom below the next structure.


(one)
Here is CaCe2Au6 after structural relaxation from Alexandria. Energies are from PBE.

## Properties
DOS at the Fermi energy (states/eV/cell): 30.875

Unit cell a=3.723 b=7.743 c=14.970 alpha=90.00 beta=90.00 gamma=90.00
Space group Immm (No. 71)
Inequivalent atoms, fractional coordinates:
Ca (0.000, 0.000, 0.000) [2 per cell]
Ce (0.000, 0.500, 0.141) [4 per cell]
Au (0.000, 0.185, 0.500) [4 per cell]
Au (0.000, 0.314, 0.324) [8 per cell]


(two)
Here is CaCe2Au6 after structural relaxation from Alexandria. Energies are from PBE.

## Properties
DOS at the Fermi energy (states/eV/cell): 15.796

Unit cell a=8.2942 b=8.2942 c=3.4953 alpha=90.00 beta=90.00 gamma=120.00
Space group P6/mmm (No. 191)
Inequivalent atoms, fractional coordinates:
Ca (0.0000, 0.0000, 0.0000) [1 per cell]
Ce (0.3333, 0.6667, 0.0000) [2 per cell]
Au (0.0000, 0.3327, 0.5000) [6 per cell]


So which one is most stable? That would be (two), about 0.058 eV/atom below the next structure.


(one)
Here is CaCeAu after structural relaxation from Alexandria. Energies are from PBE.

## Properties
DOS at the Fermi energy (states/eV/cell): 13.714

Unit cell a=3.663 b=3.663 c=13.151 alpha=90.00 beta=90.00 gamma=90.00
Space group I4mm (No. 107)
Inequivalent atoms, fractional coordinates:
Ca (0.000, 0.000, 0.000) [2 per cell]
Ce (0.000, 0.000, 0.273) [2 per cell]
Au (0.000, 0.000, 0.641) [2 per cell]


(two)
Here is CaCeAu after structural relaxation from Alexandria. Energies are from PBE.

## Properties
DOS at the Fermi energy (states/eV/cell): 22.846

Unit cell a=11.377 b=3.451 c=8.397 alpha=90.00 beta=105.90 gamma=90.00
Space group C2/m (No. 12)
Inequivalent atoms, fractional coordinates:
Ca (0.148, 0.000, 0.104) [4 per cell]
Ce (0.139, 0.000, 0.521) [4 per cell]
Au (0.048, 0.500, 0.781) [4 per cell]


So which one is most stable? That would be (two), about 0.017 eV/atom below the next structure.


(one)
Here is CaCeAu after structural relaxation from Alexandria. Energies are from PBE.

## Properties
DOS at the Fermi energy (states/eV/cell): 33.385

Unit cell a=7.207 b=7.207 c=7.207 alpha=90.00 beta=90.00 gamma=90.00
Space group F-43m (No. 216)
Inequivalent atoms, fractional coordinates:
Ca (0.000, 0.000, 0.000) [4 per cell]
Ce (0.000, 0.000, 0.500) [4 per cell]
Au (0.250, 0.250, 0.250) [4 per cell]


(two)
Here is CaCeAu after structural relaxation from Alexandria. Energies are from PBE.

## Properties
DOS at the Fermi energy (states/eV/cell): 8.317

Unit cell a=5.0050 b=5.0050 c=3.9125 alpha=90.00 beta=90.00 gamma=120.00
Space group P3m1 (No. 156)
Inequivalent atoms, fractional coordinates:
Ca (0.0000, 0.0000, 0.0000) [1 per cell]
Ce (0.3333, 0.6667, 0.5378) [1 per cell]
Au (0.6667, 0.3333, 0.2427) [1 per cell]


So which one is most stable? That would be (one), about 0.130 eV/atom below the next structure.


(one)
Here is Ca2AuCl after structural relaxation from Alexandria. Energies are from PBE.

## Properties
DOS at the Fermi energy (states/eV/cell): 4.078

Unit cell a=5.112 b=5.125 c=7.814 alpha=90.00 beta=90.00 gamma=90.00
Space group Cmmm (No. 65)
Inequivalent atoms, fractional coordinates:
Ca (0.000, 0.000, 0.223) [4 per cell]
Au (0.000, 0.500, 0.000) [2 per cell]
Cl (0.000, 0.500, 0.500) [2 per cell]


(two)
Here is Ca2AuCl after structural relaxation from Alexandria. Energies are from PBE.

## Properties
DOS at the Fermi energy (states/eV/cell): 4.202

Unit cell a=7.116 b=4.093 c=7.963 alpha=90.00 beta=107.53 gamma=90.00
Space group C2/m (No. 12)
Inequivalent atoms, fractional coordinates:
Ca (0.245, 0.000, 0.231) [4 per cell]
Au (0.000, 0.500, 0.000) [2 per cell]
Cl (0.000, 0.000, 0.500) [2 per cell]


So which one is most stable? That would be (two), about 0.080 eV/atom below the next structure.


(one)
Here is Ca2AuCl after structural relaxation from Alexandria. Energies are from PBE.

## Properties
DOS at the Fermi energy (states/eV/cell): 25.358

Unit cell a=7.462 b=7.462 c=7.462 alpha=90.00 beta=90.00 gamma=90.00
Space group Fm-3m (No. 225)
Inequivalent atoms, fractional coordinates:
Ca (0.250, 0.250, 0.250) [8 per cell]
Au (0.000, 0.000, 0.000) [4 per cell]
Cl (0.000, 0.000, 0.500) [4 per cell]


(two)
Here is Ca2AuCl after structural relaxation from Alexandria. Energies are from PBE.

## Properties
DOS at the Fermi energy (states/eV/cell): 2.918

Unit cell a=4.0949 b=4.0949 c=23.3239 alpha=90.00 beta=90.00 gamma=120.00
Space group R3m (No. 160, hexagonal axes)
Inequivalent atoms, fractional coordinates:
Ca (0.0000, 0.0000, 0.0000) [3 per cell]
Ca (0.0000, 0.0000, 0.1834) [3 per cell]
Au (0.0000, 0.0000, 0.5924) [3 per cell]
Cl (0.0000, 0.0000, 0.4158) [3 per cell]


So which one is most stable? That would be (two), about 0.225 eV/atom below the next structure.